## Ac2TbCe3Se6 (GGA-PBE)

Data for a relaxed structure of Ac2TbCe3Se6.

Summary:
- Uncorrected formation energy: -41.6 kcal/mol of atoms
- Symmetry: C2/m
- DFT total energy: -6.10 eV/atom

a = 7.4071 Å, b = 7.4071 Å, c = 7.4337 Å
α = 99.60°, β = 99.60°, γ = 120.03°
Site moments in Bohr magnetons follow the coordinates.
Sites, in units of the cell vectors:
Se 0.7689 0.7689 0.2608  -0.01
Se 0.0843 0.4034 0.2549  -0.01
Ce 0.1721 0.8279 0.5000  0.86
Ac 0.6657 0.3343 0.0000  0.00
Ce 0.5000 0.5000 0.5000  0.86
Ac 0.3343 0.6657 0.0000  0.00
Se 0.9157 0.5966 0.7451  -0.01
Tb 0.0000 0.0000 0.0000  -0.01
Se 0.4034 0.0843 0.2549  -0.01
Ce 0.8279 0.1721 0.5000  0.86
Se 0.2311 0.2311 0.7392  -0.01
Se 0.5966 0.9157 0.7451  -0.01